Crystalline CsGaSnAu at its relaxed geometry, computed with PBE.

The structure in extended XYZ format:
```
12
Lattice="4.496 0.000 0.000 -2.248 3.893 0.000 0.000 0.000 22.528" Properties=species:S:1:pos:R:3 pbc="T T T"
Cs 0.000 0.000 0.000
Cs 0.000 2.596 15.019
Cs 2.248 1.298 7.509
Ga 0.000 0.000 17.720
Ga 0.000 2.596 10.211
Ga 2.248 1.298 2.701
Sn 0.000 0.000 4.561
Sn 0.000 2.596 19.580
Sn 2.248 1.298 12.071
Au 0.000 0.000 10.928
Au 0.000 2.596 3.418
Au 2.248 1.298 18.437
```

Computed properties:
The formation energy comes out at -0.2376 eV per atom. As for the crystal system: trigonal.

---

Crystalline Ca2TbSm3Se6 at its relaxed geometry, computed with PBE.

The structure in extended XYZ format:
```
12
Lattice="3.585 -6.217 0.000 3.585 6.217 0.000 -2.399 0.000 6.876" Properties=species:S:1:pos:R:3 pbc="T T T"
Ca 3.585 4.146 0.000
Ca 3.585 -4.146 0.000
Tb 3.585 0.000 0.000
Sm -1.199 0.000 3.438
Sm 2.385 2.118 3.438
Sm 2.385 -2.118 3.438
Se -0.001 2.062 5.207
Se 1.206 0.000 1.706
Se -0.001 -2.062 5.207
Se 4.772 2.062 1.669
Se 3.564 0.000 5.170
Se 4.772 -2.062 1.669
```

Computed properties:
As for the crystal system: monoclinic. The value obtained for the formation energy (no corrections) is -42.95 kcal/mol of atoms.

---

Crystalline MnOsRh2 at its relaxed geometry, computed with PBE.

The structure in extended XYZ format:
```
4
Lattice="2.739 0.000 0.000 0.000 2.739 0.000 0.000 0.000 7.547" Properties=species:S:1:pos:R:3 pbc="T T T"
Mn 0.000 0.000 0.000
Os 0.000 0.000 3.774
Rh 1.370 1.370 1.902
Rh 1.370 1.370 5.645
```

Computed properties:
The formation energy comes out at 0.0037 eV per atom. As for the crystal system: tetragonal. The energy above the most stable polymorph in this dataset comes out at 26 meV/atom.

---

Crystalline Ca3Sn2Pb at its relaxed geometry, computed with PBE.

The structure in extended XYZ format:
```
12
Lattice="5.603 0.000 0.000 0.000 16.932 0.000 0.000 0.000 3.731" Properties=species:S:1:pos:R:3 pbc="T T T"
Ca 0.000 0.000 0.000
Ca 0.000 5.556 0.000
Ca 0.000 11.376 0.000
Ca 2.802 2.910 0.000
Ca 2.802 8.466 0.000
Ca 2.802 14.022 0.000
Sn 0.000 2.759 1.866
Sn 0.000 14.173 1.866
Sn 2.802 5.707 1.866
Sn 2.802 11.226 1.866
Pb 0.000 8.466 1.866
Pb 2.802 0.000 1.866
```

Computed properties:
The formation energy comes out at -0.5580 eV per atom. As for the crystal system: orthorhombic. The energy above the most stable polymorph in this dataset comes out at 7 meV/atom.

---

Crystalline Na3Pm3SiO8 at its relaxed geometry, computed with PBE.

The structure in extended XYZ format:
```
15
Lattice="3.394 1.959 5.546 -3.394 1.959 5.546 0.000 -3.919 5.546" Properties=species:S:1:pos:R:3 pbc="T T T"
Na -1.697 -0.980 5.546
Na -1.697 0.980 11.093
Na 0.000 1.959 5.546
Pm -3.394 0.000 8.320
Pm -1.697 0.980 2.773
Pm 1.697 0.980 2.773
Si 0.000 0.000 8.320
O 0.000 0.000 3.989
O -1.379 -0.796 9.360
O 0.000 -1.592 7.280
O -1.379 0.796 7.280
O 1.379 -0.796 9.360
O 0.000 1.592 9.360
O 1.379 0.796 7.280
O 0.000 0.000 12.650
```

Computed properties:
As for the crystal system: trigonal. The value obtained for the formation energy (no corrections) is -58.68 kcal/mol of atoms.

---

Crystalline SmIn2Ge2Pt7 at its relaxed geometry, computed with PBE.

The structure in extended XYZ format:
```
12
Lattice="2.842 -2.852 0.000 2.842 2.852 0.000 -1.980 0.000 14.561" Properties=species:S:1:pos:R:3 pbc="T T T"
Sm 0.000 0.000 0.000
In -0.180 0.000 5.877
In 3.884 0.000 8.683
Ge 0.859 0.000 10.863
Ge 2.844 0.000 3.698
Pt 1.421 1.425 2.229
Pt 1.033 0.000 8.440
Pt 2.283 1.425 12.332
Pt 2.842 0.000 0.000
Pt 1.421 -1.425 2.229
Pt 2.671 0.000 6.121
Pt 2.283 -1.425 12.332
```

Computed properties:
The formation energy comes out at -0.5637 eV per atom. As for the crystal system: monoclinic.

---

| no. | raw total energy (eV per atom) |
| --- | --- |
| 1 | -3.0277 |
| 2 | -5.5039 |
| 3 | -8.7719 |
| 4 | -3.5111 |
| 5 | -6.7643 |
| 6 | -5.7068 |